This record from the Alexandria database describes a geometry-optimized HfCdWO2 structure. The functional is PBE+U. Values from VASP.

symmetry = P4/mmm
calculated total energy = -6.344 eV per atom

```
&SYSTEM
  ibrav = 0, nat = 5, ntyp = 4
/
ATOMIC_SPECIES
Cd 112.41 Cd.upf
O 16.00 O.upf
Hf 178.49 Hf.upf
W 183.84 W.upf
ATOMIC_POSITIONS angstrom
Cd 2.036 3.144 2.036
O 2.036 0.000 0.000
O 0.000 0.000 2.036
Hf 0.000 0.000 0.000
W 0.000 3.144 0.000
CELL_PARAMETERS angstrom
4.072 0.000 0.000
0.000 6.288 0.000
0.000 0.000 4.072
```